[1]
A relaxed TcNi2Os crystal. Source: Alexandria, functional PBE.

Summary:
* E_form: 0.068 eV per atom
* E above lowest polymorph: 43.5 meV per atom
* D(E_F): 1.06 states/eV per atom

Lattice parameters (Å, degrees): 2.5938 4.0425 4.9898 90.00 104.96 90.00
Closest atoms and distances in Å follow each position.
Space group Pm (No. 6)
One atom of each set of equivalent atoms:
Tc  0.0000  0.0000  0.0000 (multiplicity 1)  7 Ni 2.49-2.66, 2 Tc 2.59, 4 Os 2.78-2.79
Ni  0.6132  0.5000  0.2293 (multiplicity 1)  4 Ni 2.36-2.59, 3 Os 2.52-2.64, 4 Tc 2.64
Ni  0.7396  0.0000  0.4827 (multiplicity 1)  4 Ni 2.36-2.59, 1 Tc 2.49, 4 Os 2.63
Os  0.3508  0.5000  0.7073 (multiplicity 1)  7 Ni 2.52-2.64, 2 Os 2.59, 4 Tc 2.78-2.79

---

[2]
A relaxed RbPaPb2 crystal. Source: Alexandria, functional PBE.

Summary:
* E_form: 0.217 eV per atom
* E above lowest polymorph: 196.1 meV per atom
* D(E_F): 1.06 states/eV per atom

Lattice parameters (Å, degrees): 3.4658 3.4658 38.0508 90.00 90.00 120.00
Closest atoms and distances in Å follow each position.
Space group R-3m (No. 166, hexagonal axes)
One atom of each set of equivalent atoms:
Rb  0.0000  0.0000  0.0000 (multiplicity 3)  6 Rb 3.47, 2 Pb 3.55
Pa  0.0000  0.0000  0.5000 (multiplicity 3)  6 Pb 3.44, 6 Pa 3.47
Pb  0.0000  0.0000  0.0932 (multiplicity 6)  3 Pa 3.44, 6 Pb 3.47, 1 Rb 3.55

---

[3]
A relaxed Li2SmHfSe4 crystal. Source: Alexandria, functional PBE.

Summary:
* D(E_F): 0.33 states/eV per atom
* electronic total energy: -5.50 eV/atom

Lattice parameters (Å, degrees): 6.8695 3.9269 6.9104 90.00 108.97 90.00
Closest atoms and distances in Å follow each position.
Space group P2/m (No. 10)
One atom of each set of equivalent atoms:
Li  0.0000  0.0000  0.0000 (multiplicity 1)  6 Se 2.86-2.88
Li  0.5000  0.5000  0.0000 (multiplicity 1)  6 Se 2.71-2.72
Sm  0.0000  0.5000  0.5000 (multiplicity 1)  6 Se 2.89-2.90
Hf  0.5000  0.0000  0.5000 (multiplicity 1)  6 Se 2.73-2.75
Se  0.2681  0.5000  0.2512 (multiplicity 2)  3 Li 2.71-2.86, 2 Hf 2.75, 1 Sm 2.90
Se  0.2719  0.0000  0.7588 (multiplicity 2)  3 Li 2.72-2.88, 1 Hf 2.73, 2 Sm 2.89

---

[4]
A relaxed Sr2SmHg4 crystal. Source: Alexandria, functional PBE.

Summary:
* E_form: -0.395 eV per atom
* D(E_F): 0.88 states/eV per atom

Lattice parameters (Å, degrees): 5.5869 5.5869 14.2507 90.00 90.00 90.00
Closest atoms and distances in Å follow each position.
Space group I4/mmm (No. 139)
One atom of each set of equivalent atoms:
Sr  0.0000  0.0000  0.2317 (multiplicity 4)  8 Hg 3.29-3.59
Sm  0.0000  0.0000  0.5000 (multiplicity 2)  8 Hg 3.20
Hg  0.0000  0.5000  0.1099 (multiplicity 8)  1 Hg 3.13, 2 Sm 3.20, 2 Sr 3.29

---

[5]
A relaxed Li3CoCl crystal. Source: Alexandria, functional PBE.

Summary:
* D(E_F): 2.35 states/eV per atom
* electronic total energy: -2.74 eV/atom

Lattice parameters (Å, degrees): 4.7411 4.7411 4.7411 90.00 90.00 90.00
Closest atoms and distances in Å follow each position.
Space group Pm-3m (No. 221)
One atom of each set of equivalent atoms:
Li  0.0000  0.0000  0.5000 (multiplicity 3)  2 Co 2.37
Co  0.0000  0.0000  0.0000 (multiplicity 1)  6 Li 2.37
Cl  0.5000  0.5000  0.5000 (multiplicity 1)  12 Li 3.35

---

[6]
A relaxed ThAg2Sb crystal. Source: Alexandria, functional PBE.

Summary:
* D(E_F): 0.71 states/eV per atom
* electronic total energy: -3.95 eV/atom

Lattice parameters (Å, degrees): 3.2375 3.2375 33.7736 90.00 90.00 120.00
Closest atoms and distances in Å follow each position.
Space group R-3m (No. 166, hexagonal axes)
One atom of each set of equivalent atoms:
Th  0.0000  0.0000  0.0000 (multiplicity 3)  2 Ag 3.13, 6 Th 3.24
Ag  0.0000  0.0000  0.0926 (multiplicity 6)  3 Sb 3.12, 1 Th 3.13, 6 Ag 3.24
Sb  0.0000  0.0000  0.5000 (multiplicity 3)  6 Ag 3.12, 6 Sb 3.24